# 1
ZrCoSb2Te, optimized geometry, DFT PBE; raw formation energy = 0.82 eV/atom; total magnetic moment = 0.488 μB/atom; Fermi-level density of states = 1.652 states/eV per atom; symmetry = P4/mmm
1.0
-3.386 -1.700 -4.050
4.363 -0.717 -3.347
0.498 -5.194 1.763
Te Co Sb Zr
1 1 2 1
direct
0.000 0.000 0.500 Te
0.500 0.500 0.500 Co
0.500 0.000 0.000 Sb
0.000 0.500 0.000 Sb
0.000 0.000 0.000 Zr

***

# 2
K2BeGe, optimized geometry, DFT PBE; total magnetic moment = 0.000 μB/atom; symmetry = P2_1/m; formation energy from the elements = 46 meV/atom
1.0
6.407 0.000 -0.005
0.000 5.987 0.000
-2.069 0.000 6.093
Ge K Be
2 4 2
direct
0.216 0.750 0.217 Ge
0.784 0.250 0.783 Ge
0.816 0.750 0.485 K
0.184 0.250 0.515 K
0.517 0.250 0.182 K
0.483 0.750 0.818 K
0.000 0.000 0.000 Be
0.000 0.500 0.000 Be

***

# 3
KSm4Hg5, optimized geometry, DFT PBE; total magnetic moment = 0.098 μB/atom; Fermi-level density of states = 0.960 states/eV per atom; symmetry = P4/mmm; formation energy from the elements = -411 meV/atom
1.0
-3.074 -1.596 -1.569
1.641 -3.420 0.263
-7.976 -2.433 18.106
Sm Hg K
4 5 1
direct
0.000 0.000 0.595 Sm
0.000 0.000 0.405 Sm
0.000 0.000 0.785 Sm
0.000 0.000 0.215 Sm
0.500 0.500 0.127 Hg
0.500 0.500 0.873 Hg
0.500 0.500 0.310 Hg
0.500 0.500 0.690 Hg
0.500 0.500 0.500 Hg
0.000 0.000 0.000 K

***

# 4
Nd2DyGe3Pt4, optimized geometry, DFT PBE; total magnetic moment = 0.000 μB/atom; Fermi-level density of states = 0.802 states/eV per atom; symmetry = P-4m2; formation energy from the elements = -966 meV/atom
1.0
4.328 0.000 0.000
0.000 4.328 0.000
0.000 0.000 11.136
Ge Pt Nd Dy
3 4 2 1
direct
0.500 0.000 0.878 Ge
0.000 0.500 0.122 Ge
0.000 0.000 0.500 Ge
0.000 0.500 0.344 Pt
0.500 0.500 0.000 Pt
0.500 0.000 0.656 Pt
0.000 0.000 0.000 Pt
0.500 0.000 0.222 Nd
0.000 0.500 0.778 Nd
0.500 0.500 0.500 Dy

***

# 5
Tl5Sn2Pd12, optimized geometry, DFT PBE; total magnetic moment = 0.000 μB/atom; Fermi-level density of states = 0.431 states/eV per atom; symmetry = C2/m; formation energy from the elements = -231 meV/atom
1.0
-3.177 -4.202 7.133
0.958 -3.549 -7.176
5.524 -1.026 1.855
Tl Pd Sn
5 12 2
direct
0.761 0.522 0.459 Tl
0.000 0.000 0.500 Tl
0.321 0.642 0.077 Tl
0.679 0.358 0.923 Tl
0.239 0.478 0.541 Tl
0.826 0.197 0.615 Pd
0.371 0.197 0.615 Pd
0.629 0.803 0.385 Pd
0.887 0.775 0.076 Pd
0.174 0.803 0.385 Pd
0.435 0.385 0.209 Pd
0.050 0.615 0.791 Pd
0.565 0.615 0.791 Pd
0.459 0.917 0.727 Pd
0.541 0.083 0.273 Pd
0.113 0.225 0.924 Pd
0.950 0.385 0.209 Pd
0.756 0.000 0.000 Sn
0.244 0.000 0.000 Sn